Entry 1:
{
  "formula": "Li3Cu",
  "functional": "PBE-GGA",
  "state": "optimized geometry",
  "cell": [[3.809, 0.000, 0.000], [0.000, 3.809, 0.000], [0.000, 0.000, 3.787]],
  "species": ["Li", "Li", "Li", "Cu"],
  "frac_coords": [[0.000, 0.000, 0.000], [0.000, 0.500, 0.500], [0.500, 0.000, 0.500], [0.500, 0.500, 0.000]],
  "volume_a3_per_atom": 13.74,
  "dft_energy_ev_per_atom": -2.3247
}

Entry 2:
{
  "formula": "MgNi6As3P",
  "functional": "PBE-GGA",
  "state": "optimized geometry",
  "cell": [[6.847, 0.000, 0.000], [-3.423, 5.930, 0.000], [0.000, 0.000, 3.531]],
  "species": ["Mg", "Ni", "Ni", "Ni", "Ni", "Ni", "Ni", "As", "As", "As", "P"],
  "frac_coords": [[0.000, 0.000, 0.000], [0.205, 0.411, 0.500], [0.205, 0.795, 0.500], [0.531, 0.062, 0.000], [0.531, 0.469, 0.000], [0.589, 0.795, 0.500], [0.938, 0.469, 0.000], [0.365, 0.183, 0.500], [0.817, 0.183, 0.500], [0.817, 0.635, 0.500], [0.333, 0.667, 0.000]],
  "m_tot_mub_per_atom": 0.00,
  "volume_a3_per_atom": 13.03,
  "dft_energy_ev_per_atom": -5.3176
}

Entry 3:
{
  "formula": "ScSnHg2",
  "functional": "PBE-GGA",
  "state": "optimized geometry",
  "cell": [[0.000, 3.621, 3.621], [3.621, 0.000, 3.621], [3.621, 3.621, 0.000]],
  "species": ["Sc", "Sn", "Hg", "Hg"],
  "frac_coords": [[0.000, 0.000, 0.000], [0.750, 0.750, 0.750], [0.250, 0.250, 0.250], [0.500, 0.500, 0.500]],
  "m_tot_mub_per_atom": 0.00,
  "volume_a3_per_atom": 23.74,
  "dft_energy_ev_per_atom": -2.8264
}

Entry 4:
{
  "formula": "BTeMo",
  "functional": "PBE-GGA",
  "state": "optimized geometry",
  "cell": [[0.000, 2.892, 2.892], [2.892, 0.000, 2.892], [2.892, 2.892, 0.000]],
  "species": ["B", "Te", "Mo"],
  "frac_coords": [[0.000, 0.000, 0.000], [0.250, 0.250, 0.250], [0.750, 0.750, 0.750]],
  "m_tot_mub_per_atom": 0.01,
  "volume_a3_per_atom": 16.13,
  "dft_energy_ev_per_atom": -5.7666
}

Entry 5:
{
  "formula": "DyMoPd",
  "functional": "PBE-GGA",
  "state": "optimized geometry",
  "cell": [[0.000, 3.216, 3.216], [3.216, 0.000, 3.216], [3.216, 3.216, 0.000]],
  "species": ["Dy", "Mo", "Pd"],
  "frac_coords": [[0.000, 0.000, 0.000], [0.500, 0.500, 0.500], [0.250, 0.250, 0.250]],
  "m_tot_mub_per_atom": 0.72,
  "volume_a3_per_atom": 22.18,
  "delta_e_f_ev_per_atom": 0.426,
  "dft_energy_ev_per_atom": -6.4489
}

Entry 6:
{
  "formula": "TmZn",
  "functional": "PBE-GGA",
  "state": "optimized geometry",
  "cell": [[4.814, 0.000, 0.000], [0.000, 9.287, 2.420], [0.000, -9.287, 2.420]],
  "species": ["Tm", "Tm", "Tm", "Tm", "Tm", "Zn", "Zn", "Zn", "Zn", "Zn"],
  "frac_coords": [[0.000, 0.000, 0.000], [0.000, 0.193, 0.819], [0.000, 0.819, 0.193], [0.500, 0.333, 0.684], [0.500, 0.684, 0.333], [0.000, 0.415, 0.585], [0.000, 0.585, 0.415], [0.500, 0.096, 0.927], [0.500, 0.512, 0.512], [0.500, 0.927, 0.096]],
  "m_tot_mub_per_atom": 0.00,
  "volume_a3_per_atom": 21.64,
  "delta_e_f_ev_per_atom": -0.226,
  "dft_energy_ev_per_atom": -3.0963
}

Entry 7:
{
  "formula": "DySO4",
  "functional": "PBE-GGA",
  "state": "optimized geometry",
  "cell": [[4.193, -2.093, 0.000], [4.193, 2.093, 0.000], [-0.562, 0.000, 8.532]],
  "species": ["Dy", "Dy", "S", "S", "O", "O", "O", "O", "O", "O", "O", "O"],
  "frac_coords": [[0.000, 0.500, 0.000], [0.500, 0.000, 0.500], [0.113, 0.887, 0.750], [0.887, 0.113, 0.250], [0.056, 0.235, 0.755], [0.235, 0.056, 0.255], [0.311, 0.683, 0.892], [0.317, 0.689, 0.608], [0.683, 0.311, 0.392], [0.689, 0.317, 0.108], [0.765, 0.944, 0.745], [0.944, 0.765, 0.245]],
  "m_tot_mub_per_atom": 0.00,
  "volume_a3_per_atom": 12.48,
  "dft_energy_ev_per_atom": -6.5072
}

Entry 8:
{
  "formula": "Sm2Zn15Ag2",
  "functional": "PBE-GGA",
  "state": "optimized geometry",
  "cell": [[4.527, 2.614, 4.418], [-4.527, 2.614, 4.418], [0.000, -5.228, 4.418]],
  "species": ["Sm", "Sm", "Zn", "Zn", "Zn", "Zn", "Zn", "Zn", "Zn", "Zn", "Zn", "Zn", "Zn", "Zn", "Zn", "Zn", "Zn", "Ag", "Ag"],
  "frac_coords": [[0.159, 0.159, 0.159], [0.841, 0.841, 0.841], [0.000, 0.500, 0.500], [0.148, 0.148, 0.662], [0.148, 0.662, 0.148], [0.205, 0.500, 0.795], [0.205, 0.795, 0.500], [0.338, 0.852, 0.852], [0.500, 0.000, 0.500], [0.500, 0.205, 0.795], [0.500, 0.500, 0.000], [0.500, 0.795, 0.205], [0.662, 0.148, 0.148], [0.795, 0.205, 0.500], [0.795, 0.500, 0.205], [0.852, 0.338, 0.852], [0.852, 0.852, 0.338], [0.394, 0.394, 0.394], [0.606, 0.606, 0.606]],
  "m_tot_mub_per_atom": 0.00,
  "volume_a3_per_atom": 16.51,
  "delta_e_f_ev_per_atom": -0.249,
  "dft_energy_ev_per_atom": -2.0412
}